No. 1
# ErAgSn | Alexandria via LeMat-Bulk | PBE-GGA | optimized geometry
data_ErAgSn
_chemical_formula_sum 'Er2 Ag2 Sn2'
_symmetry_space_group_name_H-M 'P -3 m 1'
_symmetry_Int_Tables_number 164
_symmetry_space_group_name_Hall '-P 3 2"'
_cell_length_a 4.8165
_cell_length_b 4.8165
_cell_length_c 7.3675
_cell_angle_alpha 90.00
_cell_angle_beta 90.00
_cell_angle_gamma 120.00
loop_
_atom_site_label
_atom_site_type_symbol
_atom_site_fract_x
_atom_site_fract_y
_atom_site_fract_z
Er1 Er 0.0000 0.0000 0.2264
Ag1 Ag 0.3333 0.6667 0.9835
Sn1 Sn 0.3333 0.6667 0.5661
# DFT formation energy ... -0.2754 eV/atom

---

No. 2
# TiAsSeN2 | Alexandria via LeMat-Bulk | PBE-GGA | optimized geometry
data_TiAsSeN2
_chemical_formula_sum 'Ti1 As1 Se1 N2'
_symmetry_space_group_name_H-M 'P 4/m m m'
_symmetry_Int_Tables_number 123
_symmetry_space_group_name_Hall '-P 4 2'
_cell_length_a 3.893
_cell_length_b 3.893
_cell_length_c 5.336
_cell_angle_alpha 90.00
_cell_angle_beta 90.00
_cell_angle_gamma 90.00
loop_
_atom_site_label
_atom_site_type_symbol
_atom_site_fract_x
_atom_site_fract_y
_atom_site_fract_z
Ti1 Ti 0.000 0.000 0.000
As1 As 0.500 0.500 0.500
Se1 Se 0.000 0.000 0.500
N1 N 0.000 0.500 0.000
# Energy relative to the elements, uncorrected ... 42.45 kJ/mol of atoms
# ΔE to the lowest computed polymorph ... 0 meV/atom

---

No. 3
# Tb6AsP3S2 | Alexandria via LeMat-Bulk | PBE-GGA | optimized geometry
data_Tb6AsP3S2
_chemical_formula_sum 'Tb12 As2 P6 S4'
_symmetry_space_group_name_H-M 'C 1 2/m 1'
_symmetry_Int_Tables_number 12
_cell_length_a 17.530
_cell_length_b 4.020
_cell_length_c 8.037
_cell_angle_alpha 90.00
_cell_angle_beta 103.43
_cell_angle_gamma 90.00
loop_
_symmetry_equiv_pos_as_xyz
'x,y,z'
'-x,-y,-z'
'-x,y,-z'
'x,-y,z'
'x+1/2,y+1/2,z'
'-x+1/2,-y+1/2,-z'
'-x+1/2,y+1/2,-z'
'x+1/2,-y+1/2,z'
loop_
_atom_site_label
_atom_site_type_symbol
_atom_site_fract_x
_atom_site_fract_y
_atom_site_fract_z
Tb1 Tb 0.001 0.000 0.245
Tb2 Tb 0.164 0.500 0.088
Tb3 Tb 0.169 0.500 0.579
As1 As 0.000 0.500 0.500
P1 P 0.000 0.500 0.000
P2 P 0.167 0.000 0.332
S1 S 0.168 0.000 0.836
# Energy relative to the elements, uncorrected ... -172.64 kJ/mol of atoms

---

No. 4
# CsZr3Co | Alexandria via LeMat-Bulk | PBE-GGA | optimized geometry
data_CsZr3Co
_chemical_formula_sum 'Cs1 Zr3 Co1'
_symmetry_space_group_name_H-M 'P m -3 m'
_symmetry_Int_Tables_number 221
_symmetry_space_group_name_Hall '-P 4 2 3'
_cell_length_a 5.077
_cell_length_b 5.077
_cell_length_c 5.077
_cell_angle_alpha 90.00
_cell_angle_beta 90.00
_cell_angle_gamma 90.00
loop_
_atom_site_label
_atom_site_type_symbol
_atom_site_fract_x
_atom_site_fract_y
_atom_site_fract_z
Cs1 Cs 0.000 0.000 0.000
Zr1 Zr 0.000 0.500 0.500
Co1 Co 0.500 0.500 0.500
# DFT formation energy ... 0.6798 eV/atom
# ΔE to the lowest computed polymorph ... 0 meV/atom

---

No. 5
# La3Zn9Si2 | Alexandria via LeMat-Bulk | PBE-GGA | optimized geometry
data_La3Zn9Si2
_chemical_formula_sum 'La6 Zn18 Si4'
_symmetry_space_group_name_H-M 'I m m m'
_symmetry_Int_Tables_number 71
_symmetry_space_group_name_Hall '-I 2 2'
_cell_length_a 4.446
_cell_length_b 9.755
_cell_length_c 12.695
_cell_angle_alpha 90.00
_cell_angle_beta 90.00
_cell_angle_gamma 90.00
loop_
_atom_site_label
_atom_site_type_symbol
_atom_site_fract_x
_atom_site_fract_y
_atom_site_fract_z
La1 La 0.000 0.000 0.000
La2 La 0.000 0.000 0.315
Zn1 Zn 0.000 0.275 0.136
Zn2 Zn 0.000 0.367 0.337
Zn3 Zn 0.000 0.500 0.000
Si1 Si 0.000 0.221 0.500
# Energy relative to the elements, uncorrected ... -31.53 kJ/mol of atoms

---

No. 6
# NdMnPbSe4 | Alexandria via LeMat-Bulk | PBE-GGA | optimized geometry
data_NdMnPbSe4
_chemical_formula_sum 'Nd2 Mn2 Pb2 Se8'
_symmetry_space_group_name_H-M 'P 1 21/m 1'
_symmetry_Int_Tables_number 11
_cell_length_a 7.240
_cell_length_b 6.120
_cell_length_c 8.729
_cell_angle_alpha 90.00
_cell_angle_beta 107.60
_cell_angle_gamma 90.00
loop_
_symmetry_equiv_pos_as_xyz
'x,y,z'
'-x,-y,-z'
'-x,y+1/2,-z'
'x,-y+1/2,z'
loop_
_atom_site_label
_atom_site_type_symbol
_atom_site_fract_x
_atom_site_fract_y
_atom_site_fract_z
Nd1 Nd 0.249 0.250 0.439
Mn1 Mn 0.258 0.750 0.684
Pb1 Pb 0.214 0.250 0.942
Se1 Se 0.073 0.750 0.400
Se2 Se 0.073 0.750 0.879
Se3 Se 0.482 0.511 0.262
# Energy relative to the elements, uncorrected ... -87.64 kJ/mol of atoms

---

No. 7
# AsSe2Br | Alexandria via LeMat-Bulk | PBE-GGA | optimized geometry
data_AsSe2Br
_chemical_formula_sum 'As3 Se6 Br3'
_symmetry_space_group_name_H-M 'R -3 m'
_symmetry_Int_Tables_number 166
_symmetry_space_group_name_Hall '-R 3 2"'
_cell_length_a 3.9901
_cell_length_b 3.9901
_cell_length_c 24.4770
_cell_angle_alpha 90.00
_cell_angle_beta 90.00
_cell_angle_gamma 120.00
loop_
_atom_site_label
_atom_site_type_symbol
_atom_site_fract_x
_atom_site_fract_y
_atom_site_fract_z
As1 As 0.0000 0.0000 0.0000
Se1 Se 0.0000 0.0000 0.3938
Br1 Br 0.0000 0.0000 0.5000
# Energy relative to the elements, uncorrected ... 0.38 kJ/mol of atoms
# ΔE to the lowest computed polymorph ... 156 meV/atom

---

No. 8
# RuRh3F | Alexandria via LeMat-Bulk | PBE-GGA | optimized geometry
data_RuRh3F
_chemical_formula_sum 'Ru1 Rh3 F1'
_symmetry_space_group_name_H-M 'P m -3 m'
_symmetry_Int_Tables_number 221
_symmetry_space_group_name_Hall '-P 4 2 3'
_cell_length_a 4.236
_cell_length_b 4.236
_cell_length_c 4.236
_cell_angle_alpha 90.00
_cell_angle_beta 90.00
_cell_angle_gamma 90.00
loop_
_atom_site_label
_atom_site_type_symbol
_atom_site_fract_x
_atom_site_fract_y
_atom_site_fract_z
Ru1 Ru 0.000 0.000 0.000
Rh1 Rh 0.000 0.500 0.500
F1 F 0.500 0.500 0.500
# Energy relative to the elements, uncorrected ... 87.60 kJ/mol of atoms
# ΔE to the lowest computed polymorph ... 0 meV/atom

---

no.,total moment (μB per cell)
1,0.00
2,0.00
3,0.00
4,0.00
5,0.00
6,8.79
7,0.00
8,6.04